Record 1
# TiIn

A relaxed TiIn crystal (GGA-PBEsol, Alexandria via LeMat-Bulk).

Calculated values
Space-group type = P4/mmm, No. 123
DOS at the Fermi energy = 1.718 states/eV/f.u.
ΔH_f (0 K) = -0.43 eV/f.u.

Lattice parameters (Å, degrees): 2.951 2.951 4.203 90.00 90.00 90.00
Fractional positions:
In 0.000 0.000 0.000
Ti 0.500 0.500 0.500

***

Record 2
# TaAl2Ge

A relaxed TaAl2Ge crystal (GGA-PBEsol, Alexandria via LeMat-Bulk).

Calculated values
Space-group type = I-42d, No. 122
DOS at the Fermi energy = 3.321 states/eV/f.u.
ΔH_f (0 K) = 1.34 eV/f.u.

Lattice parameters (Å, degrees): 5.226 5.796 5.796 78.27 63.20 63.20
Fractional positions:
Ge 0.500 0.000 0.000
Ge 0.250 0.500 0.500
Al 0.375 0.474 0.026
Al 0.599 0.026 0.526
Al 0.151 0.974 0.474
Al 0.875 0.526 0.974
Ta 0.000 0.000 0.000
Ta 0.750 0.500 0.500

***

Record 3
# MgAlCd2

A relaxed MgAlCd2 crystal (GGA-PBEsol, Alexandria via LeMat-Bulk).

Calculated values
Space-group type = P2/m, No. 10
DOS at the Fermi energy = 1.354 states/eV/f.u.
ΔH_f (0 K) = 0.03 eV/f.u.

Lattice parameters (Å, degrees): 3.040 5.270 5.340 110.88 90.00 90.00
Fractional positions:
Cd 0.000 0.000 0.000
Cd 0.500 0.000 0.500
Mg 0.500 0.500 0.000
Al 0.000 0.500 0.500

***

Record 4
# Li16Ta2N8O

A relaxed Li16Ta2N8O crystal (GGA-PBEsol, Alexandria via LeMat-Bulk).

Calculated values
Space-group type = R-3, No. 148
DFT total energy = -156.946 eV/cell
DOS at the Fermi energy = 0.000 states/eV/f.u.

Lattice parameters (Å, degrees): 5.931 5.931 9.078 70.93 70.93 60.00
Fractional positions:
N 0.673 0.673 0.980
N 0.536 0.225 0.326
N 0.088 0.464 0.674
N 0.464 0.775 0.674
N 0.912 0.536 0.326
N 0.327 0.327 0.020
N 0.775 0.088 0.674
N 0.225 0.912 0.326
Ta 0.249 0.249 0.252
Ta 0.751 0.751 0.748
Li 0.317 0.942 0.071
Li 0.058 0.330 0.929
Li 0.174 0.833 0.574
Li 0.419 0.174 0.574
Li 0.581 0.826 0.426
Li 0.922 0.922 0.233
Li 0.826 0.167 0.426
Li 0.078 0.078 0.767
Li 0.330 0.683 0.929
Li 0.683 0.058 0.929
Li 0.670 0.317 0.071
Li 0.417 0.417 0.749
Li 0.583 0.583 0.251
Li 0.942 0.670 0.071
Li 0.833 0.419 0.574
Li 0.167 0.581 0.426
O 0.000 0.000 0.000